1.
The following is a GGA-PBEsol calculation of Zr2CoRh after structural relaxation, from the Alexandria database.

Energy above the lowest structure with this stoichiometry (eV per atom): 0.037
Formation energy (eV/atom): -0.5022
Total magnetic moment (μB/atom): 0.12
DOS(E_F) (states/eV/f.u.): 4.018

a b c (Å): 6.3966 6.3966 6.3966
angles (deg): 90.00 90.00 90.00
Space group Fm-3m (No. 225)
Symmetry-distinct sites (fractional):
Zr1 0.2500 0.2500 0.2500 (multiplicity 8)
Co1 0.0000 0.0000 0.0000 (multiplicity 4)
Rh1 0.0000 0.0000 0.5000 (multiplicity 4)



2.
The following is a GGA-PBEsol calculation of BaRe2Au after structural relaxation, from the Alexandria database.

Energy above the lowest structure with this stoichiometry (eV per atom): 0.382
Formation energy (eV/atom): 1.2441
Total magnetic moment (μB/atom): 0.00
DOS(E_F) (states/eV/f.u.): 3.784

a b c (Å): 5.7170 10.7050 2.8837
angles (deg): 90.00 117.76 90.00
Space group C2/m (No. 12)
Symmetry-distinct sites (fractional):
Ba1 0.0000 0.0000 0.0000 (multiplicity 2)
Re1 0.2500 0.2500 0.5000 (multiplicity 4)
Au1 0.0000 0.5000 0.0000 (multiplicity 2)



3.
The following is a GGA-PBEsol calculation of Li2TeRh after structural relaxation, from the Alexandria database.

ΔE_f (raw) (eV per atom): -0.278
Total magnetic moment (μB/atom): 0.00
DOS(E_F) (states/eV/f.u.): 1.260

a b c (Å): 3.8613 3.8613 18.3336
angles (deg): 90.00 90.00 90.00
Space group I-42d (No. 122)
Symmetry-distinct sites (fractional):
Li1 0.2357 0.2500 0.1250 (multiplicity 8)
Te1 0.0000 0.0000 0.5000 (multiplicity 4)
Rh1 0.0000 0.0000 0.0000 (multiplicity 4)